The following is a DFT calculation (PBE with a Hubbard U) of FeCu2RhO6 after structural relaxation.

DOS at the Fermi energy	1.84	states/eV/cell
final energy	-5.684	eV per atom

```
FeCu2RhO6
1.0
-3.6084 -2.5474 -2.4395
4.8294 -1.3755 -0.4916
0.3653 -0.6187 5.3256
Cu Fe O Rh
2 1 6 1
direct
0.5966 0.2978 0.8805 Cu
0.5990 0.7990 0.3840 Cu
0.9940 0.9965 0.9764 Fe
0.4831 0.0906 0.1779 O
0.4985 0.8986 0.6847 O
0.1012 0.3913 0.1779 O
0.8006 0.7089 0.1778 O
0.1001 0.2004 0.6849 O
0.8004 0.5990 0.6848 O
0.9922 0.4956 0.4736 Rh
```